Material: MnNbZn2Tc
Method: DFT, PBE
State: optimized geometry

Lattice parameters (Å, degrees): 4.472 4.472 4.301 90.00 90.00 90.00
Fractional positions:
Mn 0.000 0.000 0.000
Nb 0.500 0.500 0.500
Zn 0.000 0.500 0.000
Zn 0.500 0.000 0.000
Tc 0.000 0.000 0.500

Calculated values
- formation energy (eV/atom) = 0.9471
- offset from the most stable computed form (meV per atom) = 0.0